[1]
A geometry-optimized ZrVCu2N structure. Source: the Alexandria database, functional PBE-GGA.

extended XYZ file:
```
5
Lattice="4.8863 0.0000 0.0000 0.0000 4.6799 0.0000 0.0000 0.0000 4.8863" Properties=species:S:1:pos:R:3 pbc="T T T"
Zr 0.0000 0.0000 0.0000
V 0.0000 2.3400 0.0000
Cu 2.4431 0.0000 0.0000
Cu 0.0000 0.0000 2.4431
N 2.4431 2.3400 2.4431
```

energy = -21.74 eV per cell
N(E_F) = 4.04 states/eV per cell
formation energy (no corrections) = 2.489 eV per atom



[2]
A geometry-optimized PmMg8In6 structure. Source: the Alexandria database, functional PBE-GGA.

extended XYZ file:
```
15
Lattice="-0.5551 -2.3763 8.4147 -0.4648 -8.4847 2.1345 5.7024 -3.8687 3.8449" Properties=species:S:1:pos:R:3 pbc="T T T"
Pm 0.0000 0.0000 0.0000
Mg -0.6080 -7.2436 7.0367
Mg 1.5231 -4.4964 6.4402
Mg 1.3991 -9.3546 5.0467
Mg 1.1834 -8.1237 9.9455
Mg 3.2833 -5.3752 9.3473
Mg 3.4990 -6.6061 4.4486
Mg 3.1593 -10.2334 7.9538
Mg 5.2904 -7.4861 7.3573
In 0.2288 -10.1036 7.7084
In 4.4537 -4.6262 6.6857
In 4.1189 -8.3142 10.0541
In 4.3399 -9.3963 5.1714
In 0.3425 -5.3335 9.2226
In 0.5635 -6.4155 4.3399
```

energy of formation = -0.025 eV per atom
energy = -34.31 eV per cell
N(E_F) = 8.36 states/eV per cell



Number 2 is which compound? PmMg8In6



Among the records above, which one has the highest N(E_F)? PmMg8In6



What is the formula in the first record? ZrVCu2N



Among the records above, which one has the lowest N(E_F)? ZrVCu2N